[1]
First-principles (PBEsol) data for a relaxed La2CrGa2 crystal, as listed in the Alexandria database.

Cell: 3.619 3.619 9.682 Å, 100.77 100.77 90.00°
Fractional positions:
Cr (0.000, 0.000, 0.000)
Ga (0.250, 0.750, 0.500)
Ga (0.750, 0.250, 0.500)
La (0.399, 0.399, 0.799)
La (0.601, 0.601, 0.201)

## Properties
calculated volume = 24.464 Å³/atom
ΔE_f = 184 meV/atom


[2]
First-principles (PBEsol) data for a relaxed Ba2YNi3O8 crystal, as listed in the Alexandria database.

Cell: 3.811 3.811 11.419 Å, 90.00 90.00 90.00°
Fractional positions:
Ba (0.500, 0.500, 0.171)
Ba (0.500, 0.500, 0.829)
Y (0.500, 0.500, 0.500)
Ni (0.000, 0.000, 0.345)
Ni (0.000, 0.000, 0.000)
Ni (0.000, 0.000, 0.655)
O (0.000, 0.500, 0.378)
O (0.500, 0.000, 0.378)
O (0.500, 0.000, 0.000)
O (0.000, 0.000, 0.180)
O (0.000, 0.500, 0.622)
O (0.500, 0.000, 0.622)
O (0.000, 0.000, 0.820)
O (0.000, 0.500, 0.000)

## Properties
uncorrected formation energy = -1.84 eV per atom
calculated volume = 11.843 Å³/atom


[3]
First-principles (PBEsol) data for a relaxed SrSc2Ir2 crystal, as listed in the Alexandria database.

Cell: 4.528 4.528 6.488 Å, 110.42 110.42 90.00°
Fractional positions:
Sc (0.356, 0.356, 0.712)
Sc (0.644, 0.644, 0.288)
Sr (0.000, 0.000, 0.000)
Ir (0.250, 0.750, 0.500)
Ir (0.750, 0.250, 0.500)

## Properties
energy relative to the lowest polymorph listed for this composition = 382 meV per atom
calculated volume = 23.138 Å³/atom
ΔE_f = -267 meV/atom